# 1
Density functional theory data (PBEsol) for a relaxed structure of K4SrZr.

For the energy of formation from the pure elements, the calculation gives 74.99 kJ/mol of atoms. The total magnetic moment comes out at 3.4 μB per formula unit.

The space group is F-43m (No. 216) and the conventional cell measures 10.522, 10.522 and 10.522 Å, with angles of 90.00, 90.00 and 90.00 degrees. The asymmetric unit holds K at (0.124, 0.124, 0.124), Sr at (0.000, 0.000, 0.500) and Zr at (0.250, 0.250, 0.750).

=====

# 2
Density functional theory data (PBEsol) for a relaxed structure of KSr2Zr.

For the energy of formation from the pure elements, the calculation gives 66.65 kJ/mol of atoms. The total magnetic moment comes out at 2.3 μB per formula unit. The distance to the lowest polymorph of the same formula comes out at 5.19 kcal/mol of atoms.

The space group is Pmm2 (No. 25) and the conventional cell measures 3.684, 5.832 and 7.651 Å, with angles of 90.00, 90.00 and 90.00 degrees. The asymmetric unit holds K at (0.000, 0.000, 0.000), Sr at (0.000, 0.000, 0.545), Sr at (0.500, 0.500, 0.267) and Zr at (0.500, 0.500, 0.729).

=====

# 3
Density functional theory data (PBEsol) for a relaxed structure of KSr2Zr.

For the energy of formation from the pure elements, the calculation gives 58.34 kJ/mol of atoms. The total magnetic moment comes out at 1.4 μB per formula unit. The distance to the lowest polymorph of the same formula comes out at 3.21 kcal/mol of atoms.

The space group is Cmm2 (No. 35) and the conventional cell measures 4.170, 5.873 and 13.172 Å, with angles of 90.00, 90.00 and 90.00 degrees. The asymmetric unit holds K at (0.000, 0.000, 0.000), Sr at (0.000, 0.000, 0.445), Sr at (0.000, 0.500, 0.710) and Zr at (0.000, 0.500, 0.240).

=====

# 4
Density functional theory data (PBEsol) for a relaxed structure of KSr2Zr.

For the energy of formation from the pure elements, the calculation gives 44.92 kJ/mol of atoms. The total magnetic moment comes out at 0.0 μB per formula unit. The distance to the lowest polymorph of the same formula comes out at 0.00 kcal/mol of atoms.

The space group is R-3m (No. 166, hexagonal axes) and the conventional cell measures 3.7519, 3.7519 and 39.4937 Å, with angles of 90.00, 90.00 and 120.00 degrees. The asymmetric unit holds K at (0.0000, 0.0000, 0.0000), Sr at (0.0000, 0.0000, 0.2356) and Zr at (0.0000, 0.0000, 0.5000).

=====

# 5
Density functional theory data (PBEsol) for a relaxed structure of KTa3.

For the energy of formation from the pure elements, the calculation gives 141.18 kJ/mol of atoms. The total magnetic moment comes out at 0.0 μB per formula unit.

The space group is Fm-3m (No. 225) and the conventional cell measures 6.810, 6.810 and 6.810 Å, with angles of 90.00, 90.00 and 90.00 degrees. The asymmetric unit holds K at (0.000, 0.000, 0.000), Ta at (0.000, 0.000, 0.500) and Ta at (0.250, 0.250, 0.250).

=====

# 6
Density functional theory data (PBEsol) for a relaxed structure of K3Ta.

For the energy of formation from the pure elements, the calculation gives 128.22 kJ/mol of atoms. The total magnetic moment comes out at 0.9 μB per formula unit.

The space group is R-3m (No. 166, hexagonal axes) and the conventional cell measures 12.9242, 12.9242 and 2.9732 Å, with angles of 90.00, 90.00 and 120.00 degrees. The asymmetric unit holds K at (0.0000, 0.5000, 0.0000) and Ta at (0.0000, 0.0000, 0.0000).

=====

# 7
Density functional theory data (PBEsol) for a relaxed structure of KTa.

For the energy of formation from the pure elements, the calculation gives 94.54 kJ/mol of atoms. The total magnetic moment comes out at 0.0 μB per formula unit.

The space group is R-3m (No. 166, hexagonal axes) and the conventional cell measures 3.3452, 3.3452 and 35.9892 Å, with angles of 90.00, 90.00 and 120.00 degrees. The asymmetric unit holds K at (0.0000, 0.0000, 0.1103) and Ta at (0.0000, 0.0000, 0.3583).

=====

# 8
Density functional theory data (PBEsol) for a relaxed structure of KTa3Tc.

For the energy of formation from the pure elements, the calculation gives 134.94 kJ/mol of atoms. The total magnetic moment comes out at 0.0 μB per formula unit.

The space group is Pm-3m (No. 221) and the conventional cell measures 4.881, 4.881 and 4.881 Å, with angles of 90.00, 90.00 and 90.00 degrees. The asymmetric unit holds K at (0.000, 0.000, 0.000), Ta at (0.000, 0.500, 0.500) and Tc at (0.500, 0.500, 0.500).

=====

# 9
Density functional theory data (PBEsol) for a relaxed structure of KTaTc.

For the energy of formation from the pure elements, the calculation gives 304.09 kJ/mol of atoms. The total magnetic moment comes out at 0.0 μB per formula unit.

The space group is F-43m (No. 216) and the conventional cell measures 6.229, 6.229 and 6.229 Å, with angles of 90.00, 90.00 and 90.00 degrees. The asymmetric unit holds K at (0.000, 0.000, 0.000), Ta at (0.250, 0.250, 0.750) and Tc at (0.250, 0.250, 0.250).

=====

# 10
Density functional theory data (PBEsol) for a relaxed structure of K2TaTc.

For the energy of formation from the pure elements, the calculation gives 80.44 kJ/mol of atoms. The total magnetic moment comes out at 0.0 μB per formula unit. The distance to the lowest polymorph of the same formula comes out at 0.00 kcal/mol of atoms.

The space group is Cmm2 (No. 35) and the conventional cell measures 3.360, 5.335 and 11.831 Å, with angles of 90.00, 90.00 and 90.00 degrees. The asymmetric unit holds K at (0.000, 0.000, 0.000), K at (0.000, 0.500, 0.347), Ta at (0.000, 0.000, 0.615) and Tc at (0.000, 0.500, 0.761).

=====

# 11
Density functional theory data (PBEsol) for a relaxed structure of K2TaTc.

For the energy of formation from the pure elements, the calculation gives 129.90 kJ/mol of atoms. The total magnetic moment comes out at 0.3 μB per formula unit. The distance to the lowest polymorph of the same formula comes out at 11.82 kcal/mol of atoms.

The space group is P4/mmm (No. 123) and the conventional cell measures 3.776, 3.776 and 6.113 Å, with angles of 90.00, 90.00 and 90.00 degrees. The asymmetric unit holds K at (0.000, 0.500, 0.000), Ta at (0.000, 0.000, 0.500) and Tc at (0.500, 0.500, 0.500).

=====

# 12
Density functional theory data (PBEsol) for a relaxed structure of K2TaTc.

For the energy of formation from the pure elements, the calculation gives 139.22 kJ/mol of atoms. The total magnetic moment comes out at 0.0 μB per formula unit. The distance to the lowest polymorph of the same formula comes out at 14.05 kcal/mol of atoms.

The space group is Cmmm (No. 65) and the conventional cell measures 5.314, 12.200 and 2.707 Å, with angles of 90.00, 90.00 and 90.00 degrees. The asymmetric unit holds K at (0.250, 0.250, 0.000), Ta at (0.000, 0.000, 0.500) and Tc at (0.000, 0.500, 0.500).

=====

# 13
Density functional theory data (PBEsol) for a relaxed structure of KTa4Tc.

For the energy of formation from the pure elements, the calculation gives 112.09 kJ/mol of atoms. The total magnetic moment comes out at 0.0 μB per formula unit.

The space group is F-43m (No. 216) and the conventional cell measures 7.743, 7.743 and 7.743 Å, with angles of 90.00, 90.00 and 90.00 degrees. The asymmetric unit holds K at (0.000, 0.000, 0.000), Ta at (0.124, 0.124, 0.376) and Tc at (0.250, 0.250, 0.750).

=====

# 14
Density functional theory data (PBEsol) for a relaxed structure of K2TaTe.

The total magnetic moment comes out at 0.0 μB per formula unit. As for the formation energy without anion corrections: 278 kJ/mol of formula units.

The space group is Cmmm (No. 65) and the conventional cell measures 5.896, 11.817 and 3.118 Å, with angles of 90.00, 90.00 and 90.00 degrees. The asymmetric unit holds K at (0.250, 0.250, 0.000), Ta at (0.000, 0.000, 0.500) and Te at (0.000, 0.500, 0.500).

=====

# 15
Density functional theory data (PBEsol) for a relaxed structure of K2TaTe.

The total magnetic moment comes out at 0.3 μB per formula unit. As for the formation energy without anion corrections: 249 kJ/mol of formula units.

The space group is Cmmm (No. 65) and the conventional cell measures 3.842, 4.863 and 11.789 Å, with angles of 90.00, 90.00 and 90.00 degrees. The asymmetric unit holds K at (0.000, 0.000, 0.238), Ta at (0.000, 0.500, 0.500) and Te at (0.000, 0.500, 0.000).